[1]
An optimized crystal structure of PmHoSiNi, computed with PBE.

abc: 4.0611 5.6843 5.6843
angles: 42.08 90.00 90.00
Closest atoms and distances in Å follow each position.
Positions (direct):
Pm: 0.0000 0.0000 0.0000  4 Si 3.01, 3 Ni 3.04-3.05
Ho: 0.5000 0.2816 0.2816  3 Si 2.94-3.18, 4 Ni 2.97
Si: 0.5000 0.5817 0.5817  2 Ni 2.46
Ni: 0.0000 0.7126 0.7126  2 Si 2.46

Computed properties:
Crystal system ... orthorhombic
Formation energy (no corrections) ... -0.60 eV/atom
Energy relative to the lowest polymorph listed for this composition ... 0 kJ/mol of formula units



[2]
An optimized crystal structure of HgSe, computed with PBE.

abc: 4.4067 4.4067 21.0484
angles: 90.00 90.00 120.00
Closest atoms and distances in Å follow each position.
Positions (direct):
Hg: 0.0000 0.0000 0.1211  3 Hg 3.10, 3 Se 3.37
Hg: 0.0000 0.0000 0.8789  3 Hg 3.10, 3 Se 3.37
Hg: 0.3333 0.6667 0.2052  3 Hg 3.10, 3 Se 3.41
Hg: 0.3333 0.6667 0.4563  3 Hg 3.14, 3 Se 3.44
Hg: 0.6667 0.3333 0.5437  3 Hg 3.14, 3 Se 3.44
Hg: 0.6667 0.3333 0.7948  3 Hg 3.10, 3 Se 3.41
Se: 0.0000 0.0000 0.3129  3 Se 2.64
Se: 0.0000 0.0000 0.6871  3 Se 2.64
Se: 0.3333 0.6667 0.6538  3 Se 2.64
Se: 0.3333 0.6667 0.9835  3 Se 2.64
Se: 0.6667 0.3333 0.0165  3 Se 2.64
Se: 0.6667 0.3333 0.3462  3 Se 2.64

Computed properties:
Crystal system ... trigonal
Formation energy (no corrections) ... 0.14 eV/atom



[3]
An optimized crystal structure of La2TbHo6Tm3, computed with PBE.

abc: 6.1645 6.1645 11.7719
angles: 95.01 95.01 119.98
Closest atoms and distances in Å follow each position.
Positions (direct):
La: 0.1665 0.8335 0.0000  3 La 3.56, 3 Tb 3.56, 6 Ho 3.61
La: 0.8335 0.1665 0.0000  3 La 3.56, 3 Tb 3.56, 6 Ho 3.61
Tb: 0.5000 0.5000 0.0000  6 La 3.56, 6 Ho 3.60-3.61
Ho: 0.0817 0.4140 0.7442  3 Tm 3.49-3.50, 6 Ho 3.55-3.57, 1 Tb 3.61, 2 La 3.61
Ho: 0.2540 0.2540 0.2559  3 Tm 3.49-3.50, 6 Ho 3.55-3.57, 1 Tb 3.60, 2 La 3.61
Ho: 0.4140 0.0817 0.7442  3 Tm 3.49-3.50, 6 Ho 3.55-3.57, 1 Tb 3.61, 2 La 3.61
Ho: 0.5860 0.9183 0.2558  3 Tm 3.49-3.50, 6 Ho 3.55-3.57, 1 Tb 3.61, 2 La 3.61
Ho: 0.7460 0.7460 0.7441  3 Tm 3.49-3.50, 6 Ho 3.55-3.57, 1 Tb 3.60, 2 La 3.61
Ho: 0.9183 0.5860 0.2558  3 Tm 3.49-3.50, 6 Ho 3.55-3.57, 1 Tb 3.61, 2 La 3.61
Tm: 0.0000 0.0000 0.5000  6 Ho 3.49-3.50, 6 Tm 3.56
Tm: 0.3336 0.6664 0.5000  6 Ho 3.49-3.50, 6 Tm 3.55-3.56
Tm: 0.6664 0.3336 0.5000  6 Ho 3.49-3.50, 6 Tm 3.55-3.56

Computed properties:
Crystal system ... monoclinic
Calculated formation energy ... 0.03 eV per atom



Number 1: final energy -5.731 eV/atom, magnetization 0.000 μB per cell. Number 2: final energy -1.749 eV/atom, magnetization 0.000 μB per cell. Number 3: final energy -4.587 eV/atom, magnetization 0.000 μB per cell.